DFT (PBE+U) results for a relaxed MnAlBiO5 crystal.

## Properties
The theoretical density comes out at 6.69 g/cm³. The calculation puts the density of states at the Fermi level at 0.043 states/eV/f.u. Its total DFT energy (no corrections) is -218.6 eV for the cell shown. Its size of the total moment is 12.0 μB per cell.

Cell lengths 7.4633, 8.5680, 5.7617 Å; angles 90.00, 90.00, 90.00 degrees
Fractional positions:
1 Mn 0.0000 0.0000 0.2431
2 Mn 0.0000 0.0000 0.7569
3 Mn 0.5000 0.5000 0.2431
4 Mn 0.5000 0.5000 0.7569
5 Al 0.1107 0.3585 0.0000
6 Al 0.3893 0.8585 0.0000
7 Al 0.6107 0.1415 0.0000
8 Al 0.8893 0.6415 0.0000
9 Bi 0.1379 0.6667 0.5000
10 Bi 0.3621 0.1667 0.5000
11 Bi 0.6379 0.8333 0.5000
12 Bi 0.8621 0.3333 0.5000
13 O 0.0000 0.5000 0.2098
14 O 0.0000 0.5000 0.7902
15 O 0.1036 0.2087 0.2411
16 O 0.1036 0.2087 0.7589
17 O 0.1567 0.9471 0.5000
18 O 0.1577 0.9302 0.0000
19 O 0.3423 0.4302 0.0000
20 O 0.3433 0.4471 0.5000
21 O 0.3964 0.7087 0.2411
22 O 0.3964 0.7087 0.7589
23 O 0.5000 0.0000 0.2098
24 O 0.5000 0.0000 0.7902
25 O 0.6036 0.2913 0.2411
26 O 0.6036 0.2913 0.7589
27 O 0.6567 0.5529 0.5000
28 O 0.6577 0.5698 0.0000
29 O 0.8423 0.0698 0.0000
30 O 0.8433 0.0529 0.5000
31 O 0.8964 0.7913 0.2411
32 O 0.8964 0.7913 0.7589